No. 1
Material: Ba2SrMg3
Method: DFT, PBE-GGA
State: relaxed

Properties
Formation enthalpy at 0 K in eV per atom: -0.057
Density of states at the Fermi level in states/eV per atom: 0.809
Spin magnetization in μB/cell: 0.000
E_tot in eV per atom: -1.78

a b c (Å): 4.3084 4.3084 12.8648
angles (deg): 90.00 90.00 90.00
Positions (direct):
Ba  0.0000  0.0000  0.1731
Ba  0.0000  0.0000  0.8269
Sr  0.0000  0.0000  0.5000
Mg  0.5000  0.5000  0.0000
Mg  0.5000  0.5000  0.3462
Mg  0.5000  0.5000  0.6538

No. 2
Material: SrLa2Gd
Method: DFT, PBE-GGA
State: relaxed

Properties
Formation enthalpy at 0 K in eV per atom: 0.153
Density of states at the Fermi level in states/eV per atom: 1.968
E above lowest polymorph in meV/atom: 74
Spin magnetization in μB/cell: 7.702
E_tot in eV per atom: -6.25

a b c (Å): 5.3906 5.3906 5.3320
angles (deg): 90.00 90.00 90.00
Positions (direct):
Sr  0.0000  0.0000  0.0000
La  0.0000  0.5000  0.5000
La  0.5000  0.0000  0.5000
Gd  0.5000  0.5000  0.0000

No. 3
Material: Tb5Mg4Au
Method: DFT, PBE-GGA
State: relaxed

Properties
Formation enthalpy at 0 K in eV per atom: -0.238
Density of states at the Fermi level in states/eV per atom: 1.103
Spin magnetization in μB/cell: 0.000
E_tot in eV per atom: -3.52

a b c (Å): 3.7507 3.7507 18.7957
angles (deg): 90.00 90.00 90.00
Positions (direct):
Tb  0.0000  0.0000  0.0000
Tb  0.0000  0.0000  0.2058
Tb  0.0000  0.0000  0.4090
Tb  0.0000  0.0000  0.5910
Tb  0.0000  0.0000  0.7942
Mg  0.5000  0.5000  0.1030
Mg  0.5000  0.5000  0.3046
Mg  0.5000  0.5000  0.6954
Mg  0.5000  0.5000  0.8970
Au  0.5000  0.5000  0.5000

No. 4
Material: Na2Cd7In
Method: DFT, PBE-GGA
State: relaxed

Properties
Formation enthalpy at 0 K in eV per atom: 0.197
Density of states at the Fermi level in states/eV per atom: 0.435
Spin magnetization in μB/cell: 0.000
E_tot in eV per atom: -0.98

a b c (Å): 7.8189 7.8189 7.8189
angles (deg): 60.00 60.00 60.00
Positions (direct):
Na  0.2500  0.2500  0.2500
Na  0.7500  0.7500  0.7500
Cd  0.0000  0.0000  0.0000
Cd  0.2474  0.2474  0.7526
Cd  0.2474  0.7526  0.2474
Cd  0.2474  0.7526  0.7526
Cd  0.7526  0.2474  0.2474
Cd  0.7526  0.2474  0.7526
Cd  0.7526  0.7526  0.2474
In  0.5000  0.5000  0.5000

No. 5
Material: Ac2Ga4Os
Method: DFT, PBE-GGA
State: relaxed

Properties
Formation enthalpy at 0 K in eV per atom: -0.393
Density of states at the Fermi level in states/eV per atom: 0.562
Spin magnetization in μB/cell: 0.000
E_tot in eV per atom: -4.90

a b c (Å): 6.3034 6.6456 8.7917
angles (deg): 90.00 109.38 90.00
Positions (direct):
Ac  0.2015  0.2500  0.4126
Ac  0.2419  0.7500  0.0632
Ac  0.7581  0.2500  0.9368
Ac  0.7985  0.7500  0.5874
Ga  0.2346  0.7500  0.4408
Ga  0.3151  0.2500  0.0702
Ga  0.3382  0.5489  0.7279
Ga  0.3382  0.9511  0.7279
Ga  0.6618  0.0489  0.2721
Ga  0.6618  0.4511  0.2721
Ga  0.6849  0.7500  0.9298
Ga  0.7654  0.2500  0.5592
Os  0.1367  0.2500  0.7739
Os  0.8633  0.7500  0.2261

- Which of these has the highest spin magnetization?
  SrLa2Gd